# YHfAlCo

A geometry-optimized YHfAlCo structure (PBE-GGA, OQMD via LeMat-Bulk).

a b c (Å): 4.6877 4.6877 4.6877
angles (deg): 60.00 60.00 60.00
Sites, in units of the cell vectors:
Co 0.7500 0.7500 0.7500
Al 0.0000 0.0000 0.0000
Hf 0.5000 0.5000 0.5000
Y 0.2500 0.2500 0.2500

energy relative to the lowest polymorph listed for this composition: 0.0 kJ per mole of atoms



# Hf3Zr3Al2Co

A geometry-optimized Hf3Zr3Al2Co structure (PBE-GGA, OQMD via LeMat-Bulk).

a b c (Å): 7.8793 7.8793 3.3159
angles (deg): 90.00 90.00 120.00
Sites, in units of the cell vectors:
Hf 0.2483 0.2483 0.5000
Hf 0.7517 0.0000 0.5000
Hf 0.0000 0.7517 0.5000
Zr 0.5996 0.5996 0.0000
Zr 0.4004 0.0000 0.0000
Zr 0.0000 0.4004 0.0000
Al 0.3333 0.6667 0.5000
Al 0.6667 0.3333 0.5000
Co 0.0000 0.0000 0.0000

energy relative to the lowest polymorph listed for this composition: 0.0 kJ per mole of atoms



# HfZrAlCo

A geometry-optimized HfZrAlCo structure (PBE-GGA, OQMD via LeMat-Bulk).

a b c (Å): 4.5805 4.5805 4.5805
angles (deg): 60.00 60.00 60.00
Each line ends with the local moment (μB).
Sites, in units of the cell vectors:
Zr 0.2500 0.2500 0.2500  0.85
Hf 0.5000 0.5000 0.5000  0.29
Al 0.0000 0.0000 0.0000  0.00
Co 0.7500 0.7500 0.7500  0.57

energy relative to the lowest polymorph listed for this composition: 0.0 kJ per mole of atoms



# Hf3Zr3Al2Co

A geometry-optimized Hf3Zr3Al2Co structure (PBE-GGA, OQMD via LeMat-Bulk).

a b c (Å): 7.9081 7.9081 3.2902
angles (deg): 90.00 90.00 120.00
Sites, in units of the cell vectors:
Hf 0.6015 0.6015 0.0000
Hf 0.3985 0.0000 0.0000
Hf 0.0000 0.3985 0.0000
Al 0.3333 0.6667 0.5000
Al 0.6667 0.3333 0.5000
Co 0.0000 0.0000 0.0000
Zr 0.0000 0.7470 0.5000
Zr 0.7470 0.0000 0.5000
Zr 0.2530 0.2530 0.5000

energy relative to the lowest polymorph listed for this composition: 4.1 kJ per mole of atoms



# AlCoHg2

A geometry-optimized AlCoHg2 structure (PBE-GGA, OQMD via LeMat-Bulk).

a b c (Å): 4.6259 4.6259 4.6259
angles (deg): 60.00 60.00 60.00
Each line ends with the local moment (μB).
Sites, in units of the cell vectors:
Co 0.2500 0.2500 0.2500  0.06
Hg 0.7500 0.7500 0.7500  0.00
Hg 0.0000 0.0000 0.0000  0.00
Al 0.5000 0.5000 0.5000  0.00

total energy: -2.417 eV per atom



# AlCo2Hg

A geometry-optimized AlCo2Hg structure (PBE-GGA, OQMD via LeMat-Bulk).

a b c (Å): 4.3017 4.3017 4.3017
angles (deg): 60.00 60.00 60.00
Each line ends with the local moment (μB).
Sites, in units of the cell vectors:
Hg 0.2500 0.2500 0.2500  0.00
Co 0.7500 0.7500 0.7500  0.12
Co 0.0000 0.0000 0.0000  0.17
Al 0.5000 0.5000 0.5000  0.00

total energy: -4.240 eV per atom



# AlCoHgIr

A geometry-optimized AlCoHgIr structure (PBE-GGA, OQMD via LeMat-Bulk).

a b c (Å): 4.3791 4.3791 4.3791
angles (deg): 60.00 60.00 60.00
Each line ends with the local moment (μB).
Sites, in units of the cell vectors:
Ir 0.2500 0.2500 0.2500  0.00
Hg 0.5000 0.5000 0.5000  -0.01
Co 0.7500 0.7500 0.7500  0.35
Al 0.0000 0.0000 0.0000  -0.01

energy relative to the lowest polymorph listed for this composition: 0.0 kJ per mole of atoms



# LuAlCoHg

A geometry-optimized LuAlCoHg structure (PBE-GGA, OQMD via LeMat-Bulk).

a b c (Å): 4.6634 4.6634 4.6634
angles (deg): 60.00 60.00 60.00
Each line ends with the local moment (μB).
Sites, in units of the cell vectors:
Co 0.7500 0.7500 0.7500  0.07
Hg 0.5000 0.5000 0.5000  0.00
Lu 0.2500 0.2500 0.2500  -0.01
Al 0.0000 0.0000 0.0000  0.00

energy relative to the lowest polymorph listed for this composition: 8.7 kJ per mole of atoms



# LuAlCoHg

A geometry-optimized LuAlCoHg structure (PBE-GGA, OQMD via LeMat-Bulk).

a b c (Å): 4.6562 4.6562 4.6562
angles (deg): 60.00 60.00 60.00
Each line ends with the local moment (μB).
Sites, in units of the cell vectors:
Hg 0.2500 0.2500 0.2500  0.02
Lu 0.5000 0.5000 0.5000  -0.04
Al 0.0000 0.0000 0.0000  0.01
Co 0.7500 0.7500 0.7500  1.11

energy relative to the lowest polymorph listed for this composition: 0.0 kJ per mole of atoms



# MgAlCoHg

A geometry-optimized MgAlCoHg structure (PBE-GGA, OQMD via LeMat-Bulk).

a b c (Å): 4.4787 4.4787 4.4787
angles (deg): 60.00 60.00 60.00
Each line ends with the local moment (μB).
Sites, in units of the cell vectors:
Hg 0.2500 0.2500 0.2500  0.00
Al 0.0000 0.0000 0.0000  0.00
Mg 0.5000 0.5000 0.5000  0.00
Co 0.7500 0.7500 0.7500  0.71

energy relative to the lowest polymorph listed for this composition: 0.0 kJ per mole of atoms



# AlCoHgMo

A geometry-optimized AlCoHgMo structure (PBE-GGA, OQMD via LeMat-Bulk).

a b c (Å): 4.4546 4.4546 4.4546
angles (deg): 60.00 60.00 60.00
Sites, in units of the cell vectors:
Al 0.0000 0.0000 0.0000
Mo 0.2500 0.2500 0.2500
Co 0.7500 0.7500 0.7500
Hg 0.5000 0.5000 0.5000

total energy: -5.057 eV per atom



# AlCoHgMo

A geometry-optimized AlCoHgMo structure (PBE-GGA, OQMD via LeMat-Bulk).

a b c (Å): 4.4424 4.4424 4.4424
angles (deg): 60.00 60.00 60.00
Each line ends with the local moment (μB).
Sites, in units of the cell vectors:
Hg 0.2500 0.2500 0.2500  0.03
Mo 0.5000 0.5000 0.5000  0.78
Al 0.0000 0.0000 0.0000  -0.01
Co 0.7500 0.7500 0.7500  1.14

total energy: -5.057 eV per atom